Material: Hf3ReAu
Method: DFT, PBE-GGA
State: optimized geometry

## Properties
As for the energy of formation from the pure elements: 0.588 eV per atom. The calculation puts the density of states at the Fermi level at 6.1 states/eV/f.u. The calculation puts the relative energy among the computed polymorphs at 0.000 eV per atom.

Structure (POSCAR):
```
Hf3ReAu
1.0
5.002 0.000 0.000
0.000 5.002 0.000
0.000 0.000 5.002
Hf Re Au
3 1 1
direct
0.000 0.000 0.500
0.000 0.500 0.000
0.500 0.000 0.000
0.000 0.000 0.000
0.500 0.500 0.500
```

=====

Material: HfReAu2
Method: DFT, PBE-GGA
State: optimized geometry

## Properties
As for the energy of formation from the pure elements: 0.351 eV per atom. The calculation puts the density of states at the Fermi level at 4.4 states/eV/f.u.

Structure (POSCAR):
```
HfReAu2
1.0
3.889 0.000 0.000
0.000 3.889 0.000
0.000 0.000 20.058
Hf Re Au
4 4 8
direct
0.000 0.000 0.000
0.000 0.500 0.250
0.500 0.000 0.750
0.500 0.500 0.500
0.000 0.000 0.500
0.000 0.500 0.750
0.500 0.000 0.250
0.500 0.500 0.000
0.242 0.250 0.625
0.250 0.742 0.875
0.250 0.758 0.375
0.258 0.250 0.125
0.742 0.750 0.125
0.750 0.242 0.375
0.750 0.258 0.875
0.758 0.750 0.625
```

=====

Material: HfRe3Au
Method: DFT, PBE-GGA
State: optimized geometry

## Properties
As for the energy of formation from the pure elements: 2.548 eV per atom. The calculation puts the density of states at the Fermi level at 11.1 states/eV/f.u. The calculation puts the relative energy among the computed polymorphs at 0.066 eV per atom.

Structure (POSCAR):
```
HfRe3Au
1.0
4.735 0.000 0.000
0.000 4.735 0.000
0.000 0.000 4.735
Hf Re Au
1 3 1
direct
0.000 0.000 0.000
0.000 0.000 0.500
0.000 0.500 0.000
0.500 0.000 0.000
0.500 0.500 0.500
```

=====

Material: HfRe3Au
Method: DFT, PBE-GGA
State: optimized geometry

## Properties
As for the energy of formation from the pure elements: 2.482 eV per atom. The calculation puts the density of states at the Fermi level at 13.6 states/eV/f.u. The calculation puts the relative energy among the computed polymorphs at 0.000 eV per atom.

Structure (POSCAR):
```
HfRe3Au
1.0
4.776 0.000 0.000
0.000 4.776 0.000
0.000 0.000 4.776
Hf Re Au
1 3 1
direct
0.000 0.000 0.000
0.000 0.500 0.500
0.500 0.000 0.500
0.500 0.500 0.000
0.500 0.500 0.500
```

=====

Material: Hf2Re2Au
Method: DFT, PBE-GGA
State: optimized geometry

## Properties
As for the energy of formation from the pure elements: 0.723 eV per atom. The calculation puts the density of states at the Fermi level at 7.0 states/eV/f.u. The calculation puts the relative energy among the computed polymorphs at 0.741 eV per atom.

Structure (POSCAR):
```
Hf2Re2Au
1.0
4.411 0.000 0.000
0.000 4.411 0.000
0.000 0.000 10.883
Hf Re Au
4 4 2
direct
0.000 0.500 0.250
0.000 0.500 0.750
0.500 0.000 0.250
0.500 0.000 0.750
0.000 0.000 0.109
0.000 0.000 0.891
0.500 0.500 0.391
0.500 0.500 0.609
0.000 0.000 0.500
0.500 0.500 0.000
```

=====

Material: Hf5Re4Au
Method: DFT, PBE-GGA
State: optimized geometry

## Properties
As for the energy of formation from the pure elements: -0.395 eV per atom. The calculation puts the density of states at the Fermi level at 7.3 states/eV/f.u.

Structure (POSCAR):
```
Hf5Re4Au
1.0
3.305 0.000 0.000
0.000 3.305 0.000
0.000 0.000 16.501
Hf Re Au
5 4 1
direct
0.000 0.000 0.000
0.000 0.000 0.197
0.000 0.000 0.389
0.000 0.000 0.611
0.000 0.000 0.803
0.500 0.500 0.099
0.500 0.500 0.299
0.500 0.500 0.701
0.500 0.500 0.901
0.500 0.500 0.500
```

=====

Material: Hf2Re2Au
Method: DFT, PBE-GGA
State: optimized geometry

## Properties
As for the energy of formation from the pure elements: -0.019 eV per atom. The calculation puts the density of states at the Fermi level at 3.8 states/eV/f.u. The calculation puts the relative energy among the computed polymorphs at 0.000 eV per atom.

Structure (POSCAR):
```
Hf2Re2Au
1.0
6.888 0.000 0.000
0.000 6.888 0.000
0.000 0.000 4.015
Hf Re Au
4 4 2
direct
0.177 0.323 0.000
0.323 0.823 0.000
0.677 0.177 0.000
0.823 0.677 0.000
0.121 0.621 0.500
0.379 0.121 0.500
0.621 0.879 0.500
0.879 0.379 0.500
0.000 0.000 0.500
0.500 0.500 0.500
```

=====

Material: Hf3ReAu
Method: DFT, PBE-GGA
State: optimized geometry

## Properties
As for the energy of formation from the pure elements: 1.324 eV per atom. The calculation puts the density of states at the Fermi level at 7.6 states/eV/f.u. The calculation puts the relative energy among the computed polymorphs at 0.736 eV per atom.

Structure (POSCAR):
```
Hf3ReAu
1.0
4.987 0.000 0.000
0.000 4.987 0.000
0.000 0.000 4.987
Hf Re Au
3 1 1
direct
0.000 0.000 0.500
0.000 0.500 0.000
0.500 0.000 0.000
0.500 0.500 0.500
0.000 0.000 0.000
```

=====

Material: HfScReAu
Method: DFT, PBE-GGA
State: optimized geometry

## Properties
As for the energy of formation from the pure elements: -0.390 eV per atom. The calculation puts the density of states at the Fermi level at 2.4 states/eV/f.u.

Structure (POSCAR):
```
HfScReAu
1.0
6.641 0.000 0.000
0.000 6.641 0.000
0.000 0.000 6.641
Hf Sc Re Au
4 4 4 4
direct
0.000 0.000 0.000
0.000 0.500 0.500
0.500 0.000 0.500
0.500 0.500 0.000
0.000 0.000 0.500
0.000 0.500 0.000
0.500 0.000 0.000
0.500 0.500 0.500
0.250 0.250 0.750
0.250 0.750 0.250
0.750 0.250 0.250
0.750 0.750 0.750
0.250 0.250 0.250
0.250 0.750 0.750
0.750 0.250 0.750
0.750 0.750 0.250
```

=====

Material: HfRe2SiAu
Method: DFT, PBE-GGA
State: optimized geometry

## Properties
The calculation puts the density of states at the Fermi level at 5.3 states/eV/f.u. As for the raw total energy: -6.568 eV/atom.

Structure (POSCAR):
```
HfRe2SiAu
1.0
4.836 0.000 0.000
0.000 4.836 0.000
0.000 0.000 4.888
Hf Re Si Au
1 2 1 1
direct
0.000 0.000 0.000
0.000 0.500 0.000
0.500 0.000 0.000
0.000 0.000 0.500
0.500 0.500 0.500
```

=====

Material: HfTiReAu
Method: DFT, PBE-GGA
State: optimized geometry

## Properties
As for the energy of formation from the pure elements: -0.326 eV per atom. The calculation puts the density of states at the Fermi level at 3.6 states/eV/f.u.

Structure (POSCAR):
```
HfTiReAu
1.0
6.524 0.000 0.000
0.000 6.524 0.000
0.000 0.000 6.524
Hf Ti Re Au
4 4 4 4
direct
0.000 0.000 0.000
0.000 0.500 0.500
0.500 0.000 0.500
0.500 0.500 0.000
0.000 0.000 0.500
0.000 0.500 0.000
0.500 0.000 0.000
0.500 0.500 0.500
0.250 0.250 0.250
0.250 0.750 0.750
0.750 0.250 0.750
0.750 0.750 0.250
0.250 0.250 0.750
0.250 0.750 0.250
0.750 0.250 0.250
0.750 0.750 0.750
```

=====

Material: HfVRe2Au
Method: DFT, PBE-GGA
State: optimized geometry

## Properties
As for the energy of formation from the pure elements: 2.154 eV per atom. The calculation puts the density of states at the Fermi level at 5.1 states/eV/f.u.

Structure (POSCAR):
```
HfVRe2Au
1.0
4.729 0.000 0.000
0.000 4.729 0.000
0.000 0.000 4.585
Hf V Re Au
1 1 2 1
direct
0.000 0.000 0.000
0.000 0.000 0.500
0.000 0.500 0.000
0.500 0.000 0.000
0.500 0.500 0.500
```

=====

Material: HfZrReAu2
Method: DFT, PBE-GGA
State: optimized geometry

## Properties
As for the energy of formation from the pure elements: 0.948 eV per atom. The calculation puts the density of states at the Fermi level at 6.6 states/eV/f.u.

Structure (POSCAR):
```
HfZrReAu2
1.0
5.066 0.000 0.000
0.000 5.066 0.000
0.000 0.000 4.759
Hf Zr Re Au
1 1 1 2
direct
0.000 0.000 0.000
0.500 0.500 0.000
0.000 0.000 0.500
0.000 0.500 0.500
0.500 0.000 0.500
```

=====

Material: HfRhAu
Method: DFT, PBE-GGA
State: optimized geometry

## Properties
As for the energy of formation from the pure elements: -0.484 eV per atom. The calculation puts the density of states at the Fermi level at 1.8 states/eV/f.u. The calculation puts the relative energy among the computed polymorphs at 0.236 eV per atom.

Structure (POSCAR):
```
HfRhAu
1.0
4.508 0.000 0.000
-2.254 3.904 0.000
0.000 0.000 3.006
Hf Rh Au
1 1 1
direct
0.000 0.000 0.000
0.333 0.667 0.224
0.667 0.333 0.621
```

=====

Material: Hf6RhAu
Method: DFT, PBE-GGA
State: optimized geometry

## Properties
As for the energy of formation from the pure elements: -0.295 eV per atom. The calculation puts the density of states at the Fermi level at 8.1 states/eV/f.u.

Structure (POSCAR):
```
Hf6RhAu
1.0
5.444 0.000 0.000
-0.225 5.440 0.000
-0.230 -0.235 5.437
Hf Rh Au
6 1 1
direct
0.003 0.253 0.027
0.246 0.971 0.497
0.471 0.496 0.746
0.529 0.504 0.254
0.754 0.029 0.503
0.997 0.747 0.973
0.000 0.500 0.500
0.500 0.000 0.000
```

=====

Material: HfRhAu
Method: DFT, PBE-GGA
State: optimized geometry

## Properties
As for the energy of formation from the pure elements: -0.721 eV per atom. The calculation puts the density of states at the Fermi level at 0.5 states/eV/f.u. The calculation puts the relative energy among the computed polymorphs at 0.000 eV per atom.

Structure (POSCAR):
```
HfRhAu
1.0
0.000 4.781 4.266
2.569 0.000 4.266
2.569 4.781 0.000
Hf Rh Au
2 2 2
direct
0.000 0.000 0.000
0.250 0.250 0.250
0.315 0.315 0.685
0.565 0.565 0.935
0.654 0.654 0.346
0.904 0.904 0.596
```

=====

Material: Hf2RhAu
Method: DFT, PBE-GGA
State: optimized geometry

## Properties
As for the energy of formation from the pure elements: -0.237 eV per atom. The calculation puts the density of states at the Fermi level at 4.3 states/eV/f.u.

Structure (POSCAR):
```
Hf2RhAu
1.0
7.414 0.000 0.000
0.000 7.414 0.000
0.000 0.000 5.767
Hf Rh Au
8 4 4
direct
0.223 0.250 0.125
0.250 0.723 0.375
0.250 0.777 0.875
0.277 0.250 0.625
0.723 0.750 0.625
0.750 0.223 0.875
0.750 0.277 0.375
0.777 0.750 0.125
0.000 0.000 0.000
0.000 0.500 0.250
0.500 0.000 0.750
0.500 0.500 0.500
0.000 0.000 0.500
0.000 0.500 0.750
0.500 0.000 0.250
0.500 0.500 0.000
```

=====

Material: Hf6Rh5Au
Method: DFT, PBE-GGA
State: optimized geometry

## Properties
As for the energy of formation from the pure elements: -0.776 eV per atom. The calculation puts the density of states at the Fermi level at 8.6 states/eV/f.u.

Structure (POSCAR):
```
Hf6Rh5Au
1.0
7.313 -3.335 0.000
7.313 3.335 0.000
-1.386 0.000 4.405
Hf Rh Au
6 5 1
direct
0.080 0.583 0.331
0.244 0.756 0.000
0.417 0.920 0.669
0.583 0.080 0.331
0.756 0.244 0.000
0.920 0.417 0.669
0.000 0.000 0.500
0.162 0.162 0.168
0.323 0.323 0.828
0.677 0.677 0.172
0.838 0.838 0.832
0.500 0.500 0.500
```

=====

Material: Hf2Rh3Au2
Method: DFT, PBE-GGA
State: optimized geometry

## Properties
As for the energy of formation from the pure elements: -0.607 eV per atom. The calculation puts the density of states at the Fermi level at 4.1 states/eV/f.u.

Structure (POSCAR):
```
Hf2Rh3Au2
1.0
7.798 0.000 0.000
0.000 4.519 0.000
-2.603 0.000 7.129
Hf Rh Au
4 6 4
direct
0.113 0.000 0.340
0.387 0.500 0.660
0.613 0.500 0.340
0.887 0.000 0.660
0.000 0.500 0.500
0.240 0.000 0.718
0.260 0.500 0.282
0.500 0.000 0.500
0.740 0.500 0.718
0.760 0.000 0.282
0.132 0.500 0.894
0.368 0.000 0.106
0.632 0.000 0.894
0.868 0.500 0.106
```

=====

Material: Hf2RhAu
Method: DFT, PBE-GGA
State: optimized geometry

## Properties
As for the energy of formation from the pure elements: -0.651 eV per atom. The calculation puts the density of states at the Fermi level at 2.4 states/eV/f.u.

Structure (POSCAR):
```
Hf2RhAu
1.0
3.257 0.000 0.000
0.000 3.257 0.000
0.000 0.000 7.011
Hf Rh Au
2 1 1
direct
0.000 0.000 0.234
0.000 0.000 0.766
0.500 0.500 0.000
0.500 0.500 0.500
```

=====

Material: HfRhAu
Method: DFT, PBE-GGA
State: optimized geometry

## Properties
As for the energy of formation from the pure elements: -0.650 eV per atom. The calculation puts the density of states at the Fermi level at 1.7 states/eV/f.u. The calculation puts the relative energy among the computed polymorphs at 0.071 eV per atom.

Structure (POSCAR):
```
HfRhAu
1.0
4.689 0.000 0.000
0.000 8.149 0.000
0.000 0.000 5.484
Hf Rh Au
4 4 4
direct
0.000 0.167 0.250
0.000 0.833 0.750
0.500 0.333 0.750
0.500 0.667 0.250
0.000 0.165 0.750
0.000 0.835 0.250
0.500 0.335 0.250
0.500 0.665 0.750
0.000 0.500 0.000
0.000 0.500 0.500
0.500 0.000 0.000
0.500 0.000 0.500
```

=====

Material: HfRhAu
Method: DFT, PBE-GGA
State: optimized geometry

## Properties
As for the energy of formation from the pure elements: -0.713 eV per atom. The calculation puts the density of states at the Fermi level at 2.4 states/eV/f.u. The calculation puts the relative energy among the computed polymorphs at 0.007 eV per atom.

Structure (POSCAR):
```
HfRhAu
1.0
3.424 0.000 0.000
0.000 3.424 0.000
0.000 0.000 9.019
Hf Rh Au
2 2 2
direct
0.000 0.000 0.000
0.500 0.500 0.500
0.000 0.000 0.642
0.500 0.500 0.142
0.000 0.000 0.324
0.500 0.500 0.824
```

=====

Material: Hf2RhAu
Method: DFT, PBE-GGA
State: optimized geometry

## Properties
As for the energy of formation from the pure elements: -0.473 eV per atom. The calculation puts the density of states at the Fermi level at 1.8 states/eV/f.u.

Structure (POSCAR):
```
Hf2RhAu
1.0
3.439 0.000 0.000
-1.719 2.978 0.000
0.000 0.000 23.428
Hf Rh Au
6 3 3
direct
0.000 0.000 0.243
0.000 0.000 0.757
0.333 0.667 0.424
0.333 0.667 0.910
0.667 0.333 0.090
0.667 0.333 0.576
0.000 0.000 0.500
0.333 0.667 0.167
0.667 0.333 0.833
0.000 0.000 0.000
0.333 0.667 0.667
0.667 0.333 0.333
```

=====

Material: HfRh2Au
Method: DFT, PBE-GGA
State: optimized geometry

## Properties
As for the energy of formation from the pure elements: -0.130 eV per atom. The calculation puts the density of states at the Fermi level at 4.0 states/eV/f.u.

Structure (POSCAR):
```
HfRh2Au
1.0
3.989 0.000 0.000
0.000 3.989 0.000
0.000 0.000 18.182
Hf Rh Au
4 8 4
direct
0.000 0.000 0.000
0.000 0.500 0.250
0.500 0.000 0.750
0.500 0.500 0.500
0.248 0.250 0.625
0.250 0.748 0.875
0.250 0.752 0.375
0.252 0.250 0.125
0.748 0.750 0.125
0.750 0.248 0.375
0.750 0.252 0.875
0.752 0.750 0.625
0.000 0.000 0.500
0.000 0.500 0.750
0.500 0.000 0.250
0.500 0.500 0.000
```

=====

Material: HfRuRh2Au
Method: DFT, PBE-GGA
State: optimized geometry

## Properties
As for the energy of formation from the pure elements: 0.861 eV per atom. The calculation puts the density of states at the Fermi level at 5.6 states/eV/f.u. The calculation puts the relative energy among the computed polymorphs at 0.000 eV per atom.

Structure (POSCAR):
```
HfRuRh2Au
1.0
4.680 0.000 0.000
0.000 4.680 0.000
0.000 0.000 4.826
Hf Ru Rh Au
1 1 2 1
direct
0.000 0.000 0.000
0.000 0.000 0.500
0.000 0.500 0.500
0.500 0.000 0.500
0.500 0.500 0.000
```

=====

Material: HfRuRh2Au
Method: DFT, PBE-GGA
State: optimized geometry

## Properties
As for the energy of formation from the pure elements: 1.006 eV per atom. The calculation puts the density of states at the Fermi level at 6.2 states/eV/f.u. The calculation puts the relative energy among the computed polymorphs at 0.145 eV per atom.

Structure (POSCAR):
```
HfRuRh2Au
1.0
4.583 0.000 0.000
0.000 4.583 0.000
0.000 0.000 4.989
Hf Ru Rh Au
1 1 2 1
direct
0.000 0.000 0.000
0.500 0.500 0.500
0.000 0.500 0.500
0.500 0.000 0.500
0.500 0.500 0.000
```

=====

Material: TbHfRhAu
Method: DFT, PBE-GGA
State: optimized geometry

## Properties
As for the energy of formation from the pure elements: -0.640 eV per atom. The calculation puts the density of states at the Fermi level at 3.0 states/eV/f.u.

Structure (POSCAR):
```
TbHfRhAu
1.0
6.860 0.000 0.000
0.000 6.860 0.000
0.000 0.000 6.860
Tb Hf Rh Au
4 4 4 4
direct
0.000 0.000 0.000
0.000 0.500 0.500
0.500 0.000 0.500
0.500 0.500 0.000
0.000 0.000 0.500
0.000 0.500 0.000
0.500 0.000 0.000
0.500 0.500 0.500
0.250 0.250 0.250
0.250 0.750 0.750
0.750 0.250 0.750
0.750 0.750 0.250
0.250 0.250 0.750
0.250 0.750 0.250
0.750 0.250 0.250
0.750 0.750 0.750
```